# Th5ScAs6

Crystalline Th5ScAs6 at its relaxed geometry (PBE, Alexandria via LeMat-Bulk).

- DFT formation energy (eV/atom) = -1.37
- space group = No. 12
- E (eV/atom) = -7.312

```
12
Lattice="-6.645 0.096 2.978 0.577 -0.019 7.257 0.384 6.299 3.637" Properties=species:S:1:pos:R:3 pbc="T T T"
Sc 0.000 0.000 0.000
As -4.878 2.094 4.006
As -1.129 2.035 6.233
As -1.493 0.019 2.463
As -4.575 0.058 7.771
As -4.555 4.342 7.638
As -0.806 4.282 9.865
Th -2.971 4.203 5.123
Th 0.320 2.079 3.631
Th -3.034 0.039 5.117
Th 0.641 4.201 7.263
Th -2.713 2.173 8.748
```